This record from Alexandria describes a relaxed structure of Ac5OsRh2. The functional is PBE-GGA.

Structure (CIF):
```
data_Ac5OsRh2
_cell_length_a 5.888
_cell_length_b 13.800
_cell_length_c 14.623
_cell_angle_alpha 90.00
_cell_angle_beta 90.00
_cell_angle_gamma 90.00
_symmetry_space_group_name_H-M 'C m c m'
_symmetry_Int_Tables_number 63
_symmetry_space_group_name_Hall '-C 2c 2'
loop_
_atom_site_label
_atom_site_type_symbol
_atom_site_fract_x
_atom_site_fract_y
_atom_site_fract_z
Ac1 Ac 0.000 0.052 0.120
Ac2 Ac 0.000 0.256 0.750
Ac3 Ac 0.000 0.328 0.071
Os1 Os 0.000 0.205 0.250
Rh1 Rh 0.000 0.148 0.559
```

Size of the total moment   0.00 μB/atom
Calculated volume   37.13 Å³ per atom
Energy of formation from the pure elements   -0.33 eV/atom
Electronic total energy   -6.14 eV per atom

---

This record from Alexandria describes a relaxed structure of Ac8OsRh2. The functional is PBE-GGA.

Structure (CIF):
```
data_Ac8OsRh2
_cell_length_a 20.141
_cell_length_b 4.197
_cell_length_c 9.672
_cell_angle_alpha 90.00
_cell_angle_beta 93.14
_cell_angle_gamma 90.00
_symmetry_space_group_name_H-M 'C 1 2/m 1'
_symmetry_Int_Tables_number 12
loop_
_symmetry_equiv_pos_as_xyz
'x,y,z'
'-x,-y,-z'
'-x,y,-z'
'x,-y,z'
'x+1/2,y+1/2,z'
'-x+1/2,-y+1/2,-z'
'-x+1/2,y+1/2,-z'
'x+1/2,-y+1/2,z'
loop_
_atom_site_label
_atom_site_type_symbol
_atom_site_fract_x
_atom_site_fract_y
_atom_site_fract_z
Ac1 Ac 0.013 0.000 0.206
Ac2 Ac 0.099 0.500 0.546
Ac3 Ac 0.147 0.500 0.960
Ac4 Ac 0.226 0.000 0.330
Os1 Os 0.000 0.500 0.000
Rh1 Rh 0.165 0.000 0.725
```

Size of the total moment   0.00 μB/atom
Calculated volume   37.10 Å³ per atom
Energy of formation from the pure elements   -0.29 eV/atom
Electronic total energy   -5.64 eV per atom

---

This record from Alexandria describes a relaxed structure of Ac16Os3Rh5. The functional is PBE-GGA.

Structure (CIF):
```
data_Ac16Os3Rh5
_cell_length_a 14.998
_cell_length_b 8.676
_cell_length_c 13.887
_cell_angle_alpha 90.00
_cell_angle_beta 90.05
_cell_angle_gamma 90.00
_symmetry_space_group_name_H-M 'C 1 m 1'
_symmetry_Int_Tables_number 8
loop_
_symmetry_equiv_pos_as_xyz
'x,y,z'
'x,-y,z'
'x+1/2,y+1/2,z'
'x+1/2,-y+1/2,z'
loop_
_atom_site_label
_atom_site_type_symbol
_atom_site_fract_x
_atom_site_fract_y
_atom_site_fract_z
Ac1 Ac 0.000 0.000 0.000
Ac2 Ac 0.001 0.000 0.500
Ac3 Ac 0.014 0.500 0.488
Ac4 Ac 0.082 0.248 0.230
Ac5 Ac 0.167 0.000 0.732
Ac6 Ac 0.172 0.500 0.727
Ac7 Ac 0.248 0.269 0.487
Ac8 Ac 0.259 0.234 0.989
Ac9 Ac 0.337 0.500 0.229
Ac10 Ac 0.338 0.000 0.227
Ac11 Ac 0.418 0.254 0.730
Ac12 Ac 0.490 0.000 0.989
Os1 Os 0.336 0.500 0.612
Os2 Os 0.419 0.250 0.113
Rh1 Rh 0.086 0.250 0.613
Rh2 Rh 0.166 0.500 0.349
Rh3 Rh 0.169 0.000 0.113
Rh4 Rh 0.333 0.000 0.846
```

Size of the total moment   0.00 μB/atom
Calculated volume   37.65 Å³ per atom
Energy of formation from the pure elements   -0.36 eV/atom
Electronic total energy   -6.04 eV per atom

---

This record from Alexandria describes a relaxed structure of Ac6Os2Rh. The functional is PBE-GGA.

Structure (CIF):
```
data_Ac6Os2Rh
_cell_length_a 18.213
_cell_length_b 4.418
_cell_length_c 8.294
_cell_angle_alpha 90.00
_cell_angle_beta 97.91
_cell_angle_gamma 90.00
_symmetry_space_group_name_H-M 'C 1 2/m 1'
_symmetry_Int_Tables_number 12
loop_
_symmetry_equiv_pos_as_xyz
'x,y,z'
'-x,-y,-z'
'-x,y,-z'
'x,-y,z'
'x+1/2,y+1/2,z'
'-x+1/2,-y+1/2,-z'
'-x+1/2,y+1/2,-z'
'x+1/2,-y+1/2,z'
loop_
_atom_site_label
_atom_site_type_symbol
_atom_site_fract_x
_atom_site_fract_y
_atom_site_fract_z
Ac1 Ac 0.005 0.000 0.245
Ac2 Ac 0.165 0.500 0.093
Ac3 Ac 0.170 0.500 0.571
Os1 Os 0.166 0.000 0.329
Rh1 Rh 0.000 0.500 0.000
```

Size of the total moment   0.00 μB/atom
Calculated volume   36.73 Å³ per atom
Energy of formation from the pure elements   -0.20 eV/atom
Electronic total energy   -6.25 eV per atom